The following is a DFT calculation (PBE-GGA) of a relaxed structure of Zn2CoSi2.

```
Zn2CoSi2
1.0
-2.894 -5.154 0.898
4.695 -3.012 -2.154
1.531 -0.224 3.650
Zn Co Si
4 2 4
direct
0.176 0.676 0.500
0.676 0.824 0.500
0.824 0.324 0.500
0.324 0.176 0.500
0.000 0.000 0.000
0.500 0.500 0.000
0.359 0.859 0.000
0.859 0.641 0.000
0.641 0.141 0.000
0.141 0.359 0.000
```

## Properties
Final energy (hartree per atom): -0.148
D(E_F) (states/eV per cell): 3.837

=====

The following is a DFT calculation (PBE-GGA) of a relaxed structure of Zn3CoSi.

```
Zn3CoSi
1.0
4.646 0.000 0.000
0.000 4.646 0.000
0.000 0.000 4.646
Zn Co Si
3 1 1
direct
0.000 0.500 0.000
0.000 0.000 0.500
0.500 0.000 0.000
0.500 0.500 0.500
0.000 0.000 0.000
```

## Properties
D(E_F) (states/eV per cell): 4.920
Relative energy among the computed polymorphs (eV per atom): 0.277

=====

The following is a DFT calculation (PBE-GGA) of a relaxed structure of ZnCoSi2.

```
ZnCoSi2
1.0
-3.741 0.707 -0.332
-0.759 -2.899 2.373
-1.867 3.791 7.112
Zn Co Si
2 2 4
direct
0.000 0.000 0.000
0.750 0.250 0.500
0.500 0.500 0.000
0.250 0.750 0.500
0.591 0.125 0.250
0.159 0.625 0.250
0.375 0.409 0.750
0.875 0.841 0.750
```

## Properties
Final energy (hartree per atom): -0.172
D(E_F) (states/eV per cell): 4.570

=====

The following is a DFT calculation (PBE-GGA) of a relaxed structure of ZnCoSi2.

```
ZnCoSi2
1.0
4.488 -0.005 -0.002
3.594 2.688 -0.002
0.376 0.125 4.232
Co Si Zn
1 2 1
direct
0.743 0.743 0.782
0.013 0.013 0.974
0.252 0.252 0.246
0.492 0.492 0.498
```

## Properties
Final energy (hartree per atom): -0.175
D(E_F) (states/eV per cell): 1.758

=====

The following is a DFT calculation (PBE-GGA) of a relaxed structure of ZnCoSi2.

```
ZnCoSi2
1.0
7.809 0.010 0.006
7.298 2.777 0.006
7.298 1.347 2.429
Co Si Zn
1 2 1
direct
0.750 0.750 0.750
0.010 0.010 0.010
0.490 0.490 0.490
0.250 0.250 0.250
```

## Properties
Final energy (hartree per atom): -0.179
D(E_F) (states/eV per cell): 2.320

=====

The following is a DFT calculation (PBE-GGA) of a relaxed structure of ZnCo2Si2.

```
ZnCo2Si2
1.0
6.688 0.000 0.000
0.000 6.688 0.000
0.000 0.000 2.655
Zn Co Si
2 4 4
direct
0.000 0.000 0.000
0.500 0.500 0.000
0.356 0.856 0.000
0.856 0.644 0.000
0.644 0.144 0.000
0.144 0.356 0.000
0.150 0.650 0.500
0.650 0.850 0.500
0.850 0.350 0.500
0.350 0.150 0.500
```

## Properties
Final energy (hartree per atom): -0.205
D(E_F) (states/eV per cell): 4.060

=====

The following is a DFT calculation (PBE-GGA) of a relaxed structure of ZnCoSi2.

```
ZnCoSi2
1.0
7.878 -0.011 -0.006
7.377 2.764 -0.006
7.377 1.331 2.422
Co Si Zn
1 2 1
direct
0.743 0.743 0.743
0.008 0.008 0.008
0.254 0.254 0.254
0.495 0.495 0.495
```

## Properties
Final energy (hartree per atom): -0.172
D(E_F) (states/eV per cell): 2.396

=====

The following is a DFT calculation (PBE-GGA) of a relaxed structure of ZnCoSi2.

```
ZnCoSi2
1.0
-3.031 -2.171 1.457
-0.791 -0.830 -2.882
2.205 -3.872 -1.181
Co Si Zn
1 2 1
direct
0.500 0.936 0.752
0.000 0.806 0.011
0.500 0.221 0.180
0.000 0.536 0.556
```

## Properties
Final energy (hartree per atom): -0.176
D(E_F) (states/eV per cell): 2.306

=====

The following is a DFT calculation (PBE-GGA) of a relaxed structure of ZnCoSi3.

```
ZnCoSi3
1.0
-0.563 3.291 -2.820
2.651 -1.988 -2.849
-3.428 -2.078 -1.741
Zn Co Si
1 1 3
direct
0.500 0.500 0.500
0.000 0.000 0.000
0.000 0.500 0.000
0.000 0.000 0.500
0.500 0.000 0.000
```

## Properties
D(E_F) (states/eV per cell): 2.882
Relative energy among the computed polymorphs (eV per atom): 0.000

=====

The following is a DFT calculation (PBE-GGA) of a relaxed structure of ZnCoSi2.

```
ZnCoSi2
1.0
-0.942 -1.225 3.360
-1.921 -2.757 -1.544
3.016 -2.139 0.066
Co Si Zn
1 2 1
direct
0.500 0.000 0.500
0.000 0.000 0.000
0.000 0.500 0.500
0.500 0.500 0.000
```

## Properties
Final energy (hartree per atom): -0.171
D(E_F) (states/eV per cell): 2.446

=====

The following is a DFT calculation (PBE-GGA) of a relaxed structure of ZrCo2Si.

```
ZrCo2Si
1.0
4.293 0.000 0.000
2.146 3.718 0.000
2.146 1.239 3.505
Co Si Zr
2 1 1
direct
0.000 0.000 0.000
0.250 0.250 0.250
0.500 0.500 0.500
0.750 0.750 0.750
```

## Properties
Final energy (hartree per atom): -0.265
D(E_F) (states/eV per cell): 5.821

=====

The following is a DFT calculation (PBE-GGA) of a relaxed structure of ZrCoSi2.

```
ZrCoSi2
1.0
-4.647 1.805 -1.218
-2.465 -2.021 -4.022
2.440 -1.638 4.207
Co Si Zr
1 2 1
direct
0.775 0.275 0.500
0.946 0.946 0.000
0.258 0.758 0.500
0.521 0.521 0.000
```

## Properties
Final energy (hartree per atom): -0.258
D(E_F) (states/eV per cell): 3.250